# 1
Here is a relaxed structure of Na8B13C3 from Alexandria via LeMat-Bulk. Energies are from PBE-GGA.

Computed properties:
Total magnetic moment: 0.000 μB per cell
Space-group type: No. 38
E above lowest polymorph: 11 meV/atom
V: 10.81 Å³ per atom

a = 8.685 Å, b = 5.960 Å, c = 5.960 Å
α = 57.21°, β = 90.00°, γ = 90.00°
Atoms (fractional coordinates):
Na: 0.249 0.000 0.000
Na: 0.250 0.501 0.501
Na: 0.251 0.499 0.999
Na: 0.251 0.999 0.499
Na: 0.749 0.499 0.999
Na: 0.749 0.999 0.499
Na: 0.750 0.501 0.501
Na: 0.751 0.000 0.000
B: 0.000 0.180 0.667
B: 0.000 0.318 0.318
B: 0.000 0.324 0.851
B: 0.000 0.663 0.663
B: 0.000 0.667 0.180
B: 0.000 0.826 0.826
B: 0.000 0.851 0.324
B: 0.500 0.160 0.160
B: 0.500 0.182 0.683
B: 0.500 0.325 0.325
B: 0.500 0.660 0.660
B: 0.500 0.683 0.182
B: 0.500 0.825 0.825
C: 0.000 0.167 0.167
C: 0.500 0.331 0.831
C: 0.500 0.831 0.331



# 2
Here is a relaxed structure of Tl2CdPd2 from Alexandria via LeMat-Bulk. Energies are from PBE-GGA.

Computed properties:
Total magnetic moment: 0.000 μB per cell
Space-group type: No. 139
E above lowest polymorph: 232 meV/atom
V: 22.99 Å³ per atom

a = 7.150 Å, b = 7.150 Å, c = 7.150 Å
α = 145.81°, β = 145.81°, γ = 49.13°
Atoms (fractional coordinates):
Tl: 0.250 0.750 0.500
Tl: 0.750 0.250 0.500
Cd: 0.000 0.000 0.000
Pd: 0.399 0.399 0.000
Pd: 0.601 0.601 0.000



# 3
Here is a relaxed structure of Cd2CuH from Alexandria via LeMat-Bulk. Energies are from PBE-GGA.

Computed properties:
Total magnetic moment: 0.000 μB per cell
Space-group type: No. 122
E above lowest polymorph: 0 meV/atom
V: 15.79 Å³ per atom

a = 5.484 Å, b = 5.484 Å, c = 5.484 Å
α = 107.15°, β = 107.15°, γ = 114.21°
Atoms (fractional coordinates):
Cd: 0.060 0.625 0.935
Cd: 0.375 0.310 0.435
Cd: 0.690 0.125 0.065
Cd: 0.875 0.940 0.565
Cu: 0.250 0.750 0.500
Cu: 0.500 0.500 0.000
H: 0.000 0.000 0.000
H: 0.750 0.250 0.500



# 4
Here is a relaxed structure of LiPu2Ge from Alexandria via LeMat-Bulk. Energies are from PBE-GGA.

Computed properties:
Total magnetic moment: 11.850 μB per cell
Space-group type: No. 123
V: 22.03 Å³ per atom
Uncorrected energy: -8.92 eV/atom

a = 3.915 Å, b = 3.915 Å, c = 5.749 Å
α = 90.00°, β = 90.00°, γ = 90.00°
Atoms (fractional coordinates):
Li: 0.000 0.000 0.000
Pu: 0.500 0.500 0.262
Pu: 0.500 0.500 0.738
Ge: 0.000 0.000 0.500



# 5
Here is a relaxed structure of CeSn2Pt from Alexandria via LeMat-Bulk. Energies are from PBE-GGA.

Computed properties:
Total magnetic moment: 0.549 μB per cell
Space-group type: No. 123
V: 23.12 Å³ per atom
Uncorrected energy: -5.59 eV/atom

a = 4.508 Å, b = 4.508 Å, c = 4.551 Å
α = 90.00°, β = 90.00°, γ = 90.00°
Atoms (fractional coordinates):
Ce: 0.000 0.000 0.000
Sn: 0.000 0.500 0.500
Sn: 0.500 0.000 0.500
Pt: 0.500 0.500 0.000



# 6
Here is a relaxed structure of PmPr4Nd2Ho from Alexandria via LeMat-Bulk. Energies are from PBE-GGA.

Computed properties:
Total magnetic moment: 0.000 μB per cell
Space-group type: No. 10
V: 35.07 Å³ per atom
Uncorrected energy: -4.74 eV/atom

a = 5.194 Å, b = 5.214 Å, c = 10.360 Å
α = 90.00°, β = 90.10°, γ = 90.00°
Atoms (fractional coordinates):
Pm: 0.000 0.000 0.000
Pr: 0.000 0.500 0.252
Pr: 0.000 0.500 0.748
Pr: 0.500 0.000 0.252
Pr: 0.500 0.000 0.748
Nd: 0.000 0.000 0.500
Nd: 0.500 0.500 0.000
Ho: 0.500 0.500 0.500



# 7
Here is a relaxed structure of SmHo5Tm7 from Alexandria via LeMat-Bulk. Energies are from PBE-GGA.

Computed properties:
Total magnetic moment: 0.001 μB per cell
Space-group type: No. 44
V: 32.00 Å³ per atom
Uncorrected energy: -4.27 eV/atom

a = 8.583 Å, b = 8.583 Å, c = 8.583 Å
α = 134.40°, β = 100.78°, γ = 96.50°
Atoms (fractional coordinates):
Sm: 0.000 0.000 0.000
Ho: 0.427 0.431 0.460
Ho: 0.427 0.967 0.996
Ho: 0.696 0.196 0.500
Ho: 0.971 0.431 0.004
Ho: 0.971 0.967 0.540
Tm: 0.119 0.449 0.670
Tm: 0.199 0.699 0.500
Tm: 0.277 0.947 0.330
Tm: 0.389 0.389 0.000
Tm: 0.617 0.947 0.670
Tm: 0.695 0.695 0.000
Tm: 0.779 0.449 0.330



# 8
Here is a relaxed structure of LiBeSi2 from Alexandria via LeMat-Bulk. Energies are from PBE-GGA.

Computed properties:
Total magnetic moment: 0.000 μB per cell
Space-group type: No. 166
V: 13.04 Å³ per atom
Energy relative to the elements, uncorrected: 0.18 eV per atom

a = 8.056 Å, b = 8.056 Å, c = 8.056 Å
α = 19.74°, β = 19.74°, γ = 19.74°
Atoms (fractional coordinates):
Li: 0.000 0.000 0.000
Be: 0.500 0.500 0.500
Si: 0.243 0.243 0.243
Si: 0.757 0.757 0.757